[1]
# LiSc2InS

An optimized crystal structure of LiSc2InS (PBE-GGA, Alexandria).

```
data_LiSc2InS
_space_group_name_H-M_alt 'P 1'
_space_group_IT_number 1
_cell_length_a 4.906
_cell_length_b 4.906
_cell_length_c 4.406
_cell_angle_alpha 90.00
_cell_angle_beta 90.00
_cell_angle_gamma 90.00
loop_
_space_group_symop_operation_xyz
'x,y,z'
loop_
_atom_site_label
_atom_site_type_symbol
_atom_site_fract_x
_atom_site_fract_y
_atom_site_fract_z
Li1 Li 0.000 0.000 0.000
Sc1 Sc 0.000 0.500 0.500
Sc2 Sc 0.500 0.000 0.500
In1 In 0.500 0.500 0.000
S1 S 0.000 0.000 0.500
```

[2]
# Li2In2SiS6

An optimized crystal structure of Li2In2SiS6 (PBE-GGA, Alexandria).

```
data_Li2In2SiS6
_space_group_name_H-M_alt 'P 1'
_space_group_IT_number 1
_cell_length_a 7.091
_cell_length_b 7.091
_cell_length_c 12.248
_cell_angle_alpha 107.22
_cell_angle_beta 107.22
_cell_angle_gamma 60.36
loop_
_space_group_symop_operation_xyz
'x,y,z'
loop_
_atom_site_label
_atom_site_type_symbol
_atom_site_fract_x
_atom_site_fract_y
_atom_site_fract_z
Li1 Li 0.102 0.898 0.500
Li2 Li 0.507 0.910 0.159
Li3 Li 0.898 0.102 0.000
Li4 Li 0.910 0.507 0.659
In1 In 0.275 0.413 0.004
In2 In 0.413 0.275 0.504
In3 In 0.421 0.619 0.809
In4 In 0.619 0.421 0.309
Si1 Si 0.044 0.503 0.248
Si2 Si 0.503 0.044 0.748
S1 S 0.164 0.625 0.618
S2 S 0.188 0.225 0.799
S3 S 0.216 0.700 0.305
S4 S 0.225 0.188 0.299
S5 S 0.269 0.762 0.992
S6 S 0.456 0.945 0.564
S7 S 0.625 0.164 0.118
S8 S 0.698 0.751 0.822
S9 S 0.700 0.216 0.805
S10 S 0.751 0.698 0.322
S11 S 0.762 0.269 0.492
S12 S 0.945 0.456 0.064
```

[3]
# LiSm2InS5

An optimized crystal structure of LiSm2InS5 (PBE-GGA, Alexandria).

```
data_LiSm2InS5
_space_group_name_H-M_alt 'P 1'
_space_group_IT_number 1
_cell_length_a 8.732
_cell_length_b 8.732
_cell_length_c 11.378
_cell_angle_alpha 90.00
_cell_angle_beta 90.00
_cell_angle_gamma 153.89
loop_
_space_group_symop_operation_xyz
'x,y,z'
loop_
_atom_site_label
_atom_site_type_symbol
_atom_site_fract_x
_atom_site_fract_y
_atom_site_fract_z
Li1 Li 0.225 0.775 0.500
Li2 Li 0.775 0.225 0.000
Sm1 Sm 0.125 0.875 0.164
Sm2 Sm 0.125 0.875 0.787
Sm3 Sm 0.875 0.125 0.287
Sm4 Sm 0.875 0.125 0.664
In1 In 0.418 0.582 0.959
In2 In 0.582 0.418 0.459
S1 S 0.035 0.965 0.566
S2 S 0.300 0.700 0.140
S3 S 0.302 0.698 0.820
S4 S 0.362 0.638 0.480
S5 S 0.493 0.507 0.767
S6 S 0.507 0.493 0.267
S7 S 0.638 0.362 0.980
S8 S 0.698 0.302 0.320
S9 S 0.700 0.300 0.640
S10 S 0.965 0.035 0.066
```

[4]
# LiInSn2S4

An optimized crystal structure of LiInSn2S4 (PBE-GGA, Alexandria).

```
data_LiInSn2S4
_space_group_name_H-M_alt 'P 1'
_space_group_IT_number 1
_cell_length_a 6.785
_cell_length_b 3.994
_cell_length_c 6.823
_cell_angle_alpha 90.00
_cell_angle_beta 108.34
_cell_angle_gamma 90.00
loop_
_space_group_symop_operation_xyz
'x,y,z'
loop_
_atom_site_label
_atom_site_type_symbol
_atom_site_fract_x
_atom_site_fract_y
_atom_site_fract_z
Li1 Li 0.000 0.000 0.000
In1 In 0.000 0.500 0.500
Sn1 Sn 0.500 0.000 0.500
Sn2 Sn 0.500 0.500 0.000
S1 S 0.228 0.000 0.749
S2 S 0.228 0.500 0.246
S3 S 0.772 0.000 0.251
S4 S 0.772 0.500 0.754
```

Number 1: formation energy without anion corrections -852 meV per atom. Number 2: formation energy without anion corrections -865 meV per atom. Number 3: formation energy without anion corrections -1497 meV per atom. Number 4: formation energy without anion corrections -580 meV per atom.